P:
## InSbC3 (GGA-PBE)

Data for a relaxed structure of InSbC3.

DOS at the Fermi energy ... 5.06 states/eV/cell
Total magnetization ... 0.212 μB/atom

Lattice parameters (Å, degrees): 4.297 4.297 4.297 90.00 90.00 90.00
Fractional positions:
In 0.000 0.000 0.000
Sb 0.500 0.500 0.500
C 0.000 0.500 0.500
C 0.500 0.000 0.500
C 0.500 0.500 0.000


Q:
## InSbC3 (GGA-PBE)

Data for a relaxed structure of InSbC3.

DOS at the Fermi energy ... 4.22 states/eV/cell
Total magnetization ... 0.283 μB/atom

Lattice parameters (Å, degrees): 4.366 4.366 4.366 90.00 90.00 90.00
Fractional positions:
In 0.000 0.000 0.000
Sb 0.500 0.500 0.500
C 0.000 0.000 0.500
C 0.000 0.500 0.000
C 0.500 0.000 0.000


It turns out P is the most stable, with the second structure 304 meV per atom higher.


P:
## InSb2TeC (GGA-PBE)

Data for a relaxed structure of InSb2TeC.

DOS at the Fermi energy ... 7.60 states/eV/cell
Total magnetization ... 0.290 μB/atom

Lattice parameters (Å, degrees): 5.766 5.766 5.797 90.00 90.00 90.00
Fractional positions:
In 0.000 0.000 0.000
Sb 0.000 0.500 0.000
Sb 0.500 0.000 0.000
Te 0.000 0.000 0.500
C 0.500 0.500 0.500


Q:
## InSb2TeC (GGA-PBE)

Data for a relaxed structure of InSb2TeC.

DOS at the Fermi energy ... 3.32 states/eV/cell
Total magnetization ... 0.000 μB/atom

Lattice parameters (Å, degrees): 4.850 4.850 4.961 90.00 90.00 90.00
Fractional positions:
In 0.000 0.000 0.000
Sb 0.000 0.500 0.500
Sb 0.500 0.000 0.500
Te 0.500 0.500 0.000
C 0.500 0.500 0.500


It turns out Q is the most stable, with the second structure 1177 meV per atom higher.


P:
## Sc2InC (GGA-PBE)

Data for a relaxed structure of Sc2InC.

DOS at the Fermi energy ... 10.82 states/eV/cell
Total magnetization ... 0.000 μB/atom

Lattice parameters (Å, degrees): 6.622 6.622 6.622 90.00 90.00 90.00
Fractional positions:
Sc 0.250 0.250 0.250
Sc 0.250 0.250 0.750
Sc 0.250 0.750 0.250
Sc 0.250 0.750 0.750
Sc 0.750 0.250 0.250
Sc 0.750 0.250 0.750
Sc 0.750 0.750 0.250
Sc 0.750 0.750 0.750
In 0.000 0.000 0.000
In 0.000 0.500 0.500
In 0.500 0.000 0.500
In 0.500 0.500 0.000
C 0.000 0.000 0.500
C 0.000 0.500 0.000
C 0.500 0.000 0.000
C 0.500 0.500 0.500


Q:
## Sc2InC (GGA-PBE)

Data for a relaxed structure of Sc2InC.

DOS at the Fermi energy ... 4.09 states/eV/cell
Total magnetization ... 0.000 μB/atom

Lattice parameters (Å, degrees): 5.802 3.353 7.954 90.00 104.13 90.00
Fractional positions:
Sc 0.220 0.000 0.159
Sc 0.280 0.500 0.841
Sc 0.720 0.500 0.159
Sc 0.780 0.000 0.841
In 0.000 0.000 0.500
In 0.500 0.500 0.500
C 0.000 0.500 0.000
C 0.500 0.000 0.000


It turns out Q is the most stable, with the second structure 1158 meV per atom higher.


P:
## ScInC3 (GGA-PBE)

Data for a relaxed structure of ScInC3.

DOS at the Fermi energy ... 2.60 states/eV/cell
Total magnetization ... 0.000 μB/atom

Lattice parameters (Å, degrees): 4.297 4.297 4.297 90.00 90.00 90.00
Fractional positions:
Sc 0.000 0.000 0.000
In 0.500 0.500 0.500
C 0.000 0.000 0.500
C 0.000 0.500 0.000
C 0.500 0.000 0.000


Q:
## ScInC3 (GGA-PBE)

Data for a relaxed structure of ScInC3.

DOS at the Fermi energy ... 3.31 states/eV/cell
Total magnetization ... 0.000 μB/atom

Lattice parameters (Å, degrees): 4.246 4.246 4.246 90.00 90.00 90.00
Fractional positions:
Sc 0.000 0.000 0.000
In 0.500 0.500 0.500
C 0.000 0.500 0.500
C 0.500 0.000 0.500
C 0.500 0.500 0.000


It turns out P is the most stable, with the second structure 223 meV per atom higher.


P:
## ScIn3C (GGA-PBE)

Data for a relaxed structure of ScIn3C.

DOS at the Fermi energy ... 4.28 states/eV/cell
Total magnetization ... 0.008 μB/atom

Lattice parameters (Å, degrees): 5.671 5.671 5.671 90.00 90.00 90.00
Fractional positions:
Sc 0.000 0.000 0.000
In 0.000 0.000 0.500
In 0.000 0.500 0.000
In 0.500 0.000 0.000
C 0.500 0.500 0.500


Q:
## ScIn3C (GGA-PBE)

Data for a relaxed structure of ScIn3C.

DOS at the Fermi energy ... 3.58 states/eV/cell
Total magnetization ... 0.000 μB/atom

Lattice parameters (Å, degrees): 4.772 4.772 4.772 90.00 90.00 90.00
Fractional positions:
Sc 0.000 0.000 0.000
In 0.000 0.500 0.500
In 0.500 0.000 0.500
In 0.500 0.500 0.000
C 0.500 0.500 0.500


It turns out Q is the most stable, with the second structure 1033 meV per atom higher.


P:
## InCSe2 (GGA-PBE)

Data for a relaxed structure of InCSe2.

DOS at the Fermi energy ... 6.71 states/eV/cell
Total magnetization ... 0.000 μB/atom

Lattice parameters (Å, degrees): 3.211 3.211 26.371 90.00 90.00 120.00
Fractional positions:
In 0.000 0.000 0.000
In 0.333 0.667 0.667
In 0.667 0.333 0.333
C 0.000 0.000 0.500
C 0.333 0.667 0.167
C 0.667 0.333 0.833
Se 0.000 0.000 0.115
Se 0.000 0.000 0.885
Se 0.333 0.667 0.552
Se 0.333 0.667 0.782
Se 0.667 0.333 0.218
Se 0.667 0.333 0.448


Q:
## InCSe2 (GGA-PBE)

Data for a relaxed structure of InCSe2.

DOS at the Fermi energy ... 9.09 states/eV/cell
Total magnetization ... 0.000 μB/atom

Lattice parameters (Å, degrees): 4.687 4.687 20.740 90.00 90.00 120.00
Fractional positions:
In 0.000 0.000 0.000
In 0.333 0.667 0.667
In 0.667 0.333 0.333
C 0.000 0.000 0.500
C 0.333 0.667 0.167
C 0.667 0.333 0.833
Se 0.000 0.000 0.416
Se 0.000 0.000 0.584
Se 0.333 0.667 0.083
Se 0.333 0.667 0.251
Se 0.667 0.333 0.749
Se 0.667 0.333 0.917


R:
## InCSe2 (GGA-PBE)

Data for a relaxed structure of InCSe2.

DOS at the Fermi energy ... 11.00 states/eV/cell
Total magnetization ... 0.000 μB/atom

Lattice parameters (Å, degrees): 6.716 6.716 8.094 90.00 90.00 90.00
Fractional positions:
In 0.000 0.000 0.000
In 0.000 0.500 0.250
In 0.500 0.000 0.750
In 0.500 0.500 0.500
C 0.000 0.000 0.500
C 0.000 0.500 0.750
C 0.500 0.000 0.250
C 0.500 0.500 0.000
Se 0.121 0.250 0.625
Se 0.250 0.621 0.875
Se 0.250 0.879 0.375
Se 0.379 0.250 0.125
Se 0.621 0.750 0.125
Se 0.750 0.121 0.375
Se 0.750 0.379 0.875
Se 0.879 0.750 0.625


It turns out Q is the most stable, with the second structure 88 meV per atom higher.


P:
## InC3Se (GGA-PBE)

Data for a relaxed structure of InC3Se.

DOS at the Fermi energy ... 3.40 states/eV/cell
Total magnetization ... 0.331 μB/atom

Lattice parameters (Å, degrees): 4.372 4.372 4.372 90.00 90.00 90.00
Fractional positions:
In 0.000 0.000 0.000
C 0.000 0.000 0.500
C 0.000 0.500 0.000
C 0.500 0.000 0.000
Se 0.500 0.500 0.500


Q:
## InC3Se (GGA-PBE)

Data for a relaxed structure of InC3Se.

DOS at the Fermi energy ... 3.56 states/eV/cell
Total magnetization ... 0.000 μB/atom

Lattice parameters (Å, degrees): 4.005 4.005 4.005 90.00 90.00 90.00
Fractional positions:
In 0.000 0.000 0.000
C 0.000 0.500 0.500
C 0.500 0.000 0.500
C 0.500 0.500 0.000
Se 0.500 0.500 0.500


It turns out Q is the most stable, with the second structure 551 meV per atom higher.


P:
## InC2Se (GGA-PBE)

Data for a relaxed structure of InC2Se.

DOS at the Fermi energy ... 10.45 states/eV/cell
Total magnetization ... 0.000 μB/atom

Lattice parameters (Å, degrees): 6.051 6.051 6.051 90.00 90.00 90.00
Fractional positions:
In 0.000 0.000 0.000
In 0.000 0.500 0.500
In 0.500 0.000 0.500
In 0.500 0.500 0.000
C 0.250 0.250 0.250
C 0.250 0.250 0.750
C 0.250 0.750 0.250
C 0.250 0.750 0.750
C 0.750 0.250 0.250
C 0.750 0.250 0.750
C 0.750 0.750 0.250
C 0.750 0.750 0.750
Se 0.000 0.000 0.500
Se 0.000 0.500 0.000
Se 0.500 0.000 0.000
Se 0.500 0.500 0.500


Q:
## InC2Se (GGA-PBE)

Data for a relaxed structure of InC2Se.

DOS at the Fermi energy ... 8.66 states/eV/cell
Total magnetization ... 0.000 μB/atom

Lattice parameters (Å, degrees): 4.970 4.970 10.210 90.00 90.00 90.00
Fractional positions:
In 0.000 0.000 0.000
In 0.000 0.500 0.250
In 0.500 0.000 0.750
In 0.500 0.500 0.500
C 0.216 0.250 0.625
C 0.250 0.716 0.875
C 0.250 0.784 0.375
C 0.284 0.250 0.125
C 0.716 0.750 0.125
C 0.750 0.216 0.375
C 0.750 0.284 0.875
C 0.784 0.750 0.625
Se 0.000 0.000 0.500
Se 0.000 0.500 0.750
Se 0.500 0.000 0.250
Se 0.500 0.500 0.000


It turns out Q is the most stable, with the second structure 883 meV per atom higher.


P:
## In2SiC2 (GGA-PBE)

Data for a relaxed structure of In2SiC2.

DOS at the Fermi energy ... 1.86 states/eV/cell
Total magnetization ... 0.000 μB/atom

Lattice parameters (Å, degrees): 5.364 5.364 5.892 90.00 90.00 90.00
Fractional positions:
In 0.000 0.500 0.250
In 0.000 0.500 0.750
In 0.500 0.000 0.250
In 0.500 0.000 0.750
Si 0.000 0.000 0.000
Si 0.500 0.500 0.500
C 0.000 0.000 0.390
C 0.000 0.000 0.610
C 0.500 0.500 0.110
C 0.500 0.500 0.890


Q:
## In2SiC2 (GGA-PBE)

Data for a relaxed structure of In2SiC2.

DOS at the Fermi energy ... 3.58 states/eV/cell
Total magnetization ... 0.000 μB/atom

Lattice parameters (Å, degrees): 5.511 5.511 5.100 90.00 90.00 90.00
Fractional positions:
In 0.185 0.315 0.000
In 0.315 0.815 0.000
In 0.685 0.185 0.000
In 0.815 0.685 0.000
Si 0.000 0.000 0.500
Si 0.500 0.500 0.500
C 0.236 0.264 0.500
C 0.264 0.764 0.500
C 0.736 0.236 0.500
C 0.764 0.736 0.500


It turns out P is the most stable, with the second structure 314 meV per atom higher.


P:
## InSiC2 (GGA-PBE)

Data for a relaxed structure of InSiC2.

DOS at the Fermi energy ... 6.94 states/eV/cell
Total magnetization ... 0.000 μB/atom

Lattice parameters (Å, degrees): 5.789 5.789 5.789 90.00 90.00 90.00
Fractional positions:
In 0.000 0.000 0.000
In 0.000 0.500 0.500
In 0.500 0.000 0.500
In 0.500 0.500 0.000
Si 0.000 0.000 0.500
Si 0.000 0.500 0.000
Si 0.500 0.000 0.000
Si 0.500 0.500 0.500
C 0.250 0.250 0.250
C 0.250 0.250 0.750
C 0.250 0.750 0.250
C 0.250 0.750 0.750
C 0.750 0.250 0.250
C 0.750 0.250 0.750
C 0.750 0.750 0.250
C 0.750 0.750 0.750


Q:
## InSiC2 (GGA-PBE)

Data for a relaxed structure of InSiC2.

DOS at the Fermi energy ... 13.80 states/eV/cell
Total magnetization ... 0.000 μB/atom

Lattice parameters (Å, degrees): 4.822 4.822 9.236 90.00 90.00 90.00
Fractional positions:
In 0.000 0.000 0.000
In 0.000 0.500 0.250
In 0.500 0.000 0.750
In 0.500 0.500 0.500
Si 0.000 0.000 0.500
Si 0.000 0.500 0.750
Si 0.500 0.000 0.250
Si 0.500 0.500 0.000
C 0.186 0.250 0.625
C 0.250 0.686 0.875
C 0.250 0.814 0.375
C 0.314 0.250 0.125
C 0.686 0.750 0.125
C 0.750 0.186 0.375
C 0.750 0.314 0.875
C 0.814 0.750 0.625


It turns out Q is the most stable, with the second structure 1503 meV per atom higher.


P:
## InSi2C (GGA-PBE)

Data for a relaxed structure of InSi2C.

DOS at the Fermi energy ... 12.10 states/eV/cell
Total magnetization ... 0.000 μB/atom

Lattice parameters (Å, degrees): 6.382 6.382 6.382 90.00 90.00 90.00
Fractional positions:
In 0.000 0.000 0.000
In 0.000 0.500 0.500
In 0.500 0.000 0.500
In 0.500 0.500 0.000
Si 0.250 0.250 0.250
Si 0.250 0.250 0.750
Si 0.250 0.750 0.250
Si 0.250 0.750 0.750
Si 0.750 0.250 0.250
Si 0.750 0.250 0.750
Si 0.750 0.750 0.250
Si 0.750 0.750 0.750
C 0.000 0.000 0.500
C 0.000 0.500 0.000
C 0.500 0.000 0.000
C 0.500 0.500 0.500


Q:
## InSi2C (GGA-PBE)

Data for a relaxed structure of InSi2C.

DOS at the Fermi energy ... 5.72 states/eV/cell
Total magnetization ... 0.000 μB/atom

Lattice parameters (Å, degrees): 5.330 5.330 9.741 90.00 90.00 90.00
Fractional positions:
In 0.000 0.000 0.000
In 0.000 0.500 0.250
In 0.500 0.000 0.750
In 0.500 0.500 0.500
Si 0.143 0.250 0.625
Si 0.250 0.643 0.875
Si 0.250 0.857 0.375
Si 0.357 0.250 0.125
Si 0.643 0.750 0.125
Si 0.750 0.143 0.375
Si 0.750 0.357 0.875
Si 0.857 0.750 0.625
C 0.000 0.000 0.500
C 0.000 0.500 0.750
C 0.500 0.000 0.250
C 0.500 0.500 0.000


It turns out Q is the most stable, with the second structure 1204 meV per atom higher.


P:
## InSnC2 (GGA-PBE)

Data for a relaxed structure of InSnC2.

DOS at the Fermi energy ... 11.60 states/eV/cell
Total magnetization ... 0.000 μB/atom

Lattice parameters (Å, degrees): 5.159 5.159 10.158 90.00 90.00 90.00
Fractional positions:
In 0.000 0.000 0.000
In 0.000 0.500 0.250
In 0.500 0.000 0.750
In 0.500 0.500 0.500
Sn 0.000 0.000 0.500
Sn 0.000 0.500 0.750
Sn 0.500 0.000 0.250
Sn 0.500 0.500 0.000
C 0.240 0.250 0.625
C 0.250 0.740 0.875
C 0.250 0.760 0.375
C 0.260 0.250 0.125
C 0.740 0.750 0.125
C 0.750 0.240 0.375
C 0.750 0.260 0.875
C 0.760 0.750 0.625


Q:
## InSnC2 (GGA-PBE)

Data for a relaxed structure of InSnC2.

DOS at the Fermi energy ... 8.69 states/eV/cell
Total magnetization ... 0.000 μB/atom

Lattice parameters (Å, degrees): 6.179 6.179 6.179 90.00 90.00 90.00
Fractional positions:
In 0.000 0.000 0.000
In 0.000 0.500 0.500
In 0.500 0.000 0.500
In 0.500 0.500 0.000
Sn 0.000 0.000 0.500
Sn 0.000 0.500 0.000
Sn 0.500 0.000 0.000
Sn 0.500 0.500 0.500
C 0.250 0.250 0.250
C 0.250 0.250 0.750
C 0.250 0.750 0.250
C 0.250 0.750 0.750
C 0.750 0.250 0.250
C 0.750 0.250 0.750
C 0.750 0.750 0.250
C 0.750 0.750 0.750


It turns out P is the most stable, with the second structure 996 meV per atom higher.